Entry 1:
# Pr8AuSe3I4 (GGA-PBE, optimized geometry)
# Formation energy without anion corrections ... -1.24 eV/atom
data_Pr8AuSe3I4
_chemical_formula_sum 'Pr24 Au3 Se9 I12'
_space_group_name_H-M_alt 'R -3 m'
_space_group_IT_number 166
_space_group_name_Hall '-R 3 2"'
_cell_length_a 8.6772
_cell_length_b 8.6772
_cell_length_c 23.3081
_cell_angle_alpha 90.00
_cell_angle_beta 90.00
_cell_angle_gamma 120.00
loop_
_atom_site_label
_atom_site_type_symbol
_atom_site_fract_x
_atom_site_fract_y
_atom_site_fract_z
Pr1 Pr 0.0000 0.0000 0.2316
Pr2 Pr 0.0022 0.5011 0.7661
Au1 Au 0.0000 0.0000 0.5000
Se1 Se 0.0000 0.5000 0.5000
I1 I 0.0000 0.0000 0.0000
I2 I 0.0000 0.5000 0.0000

=====

Entry 2:
# BaNa2Hg2Au (GGA-PBE, optimized geometry)
# Energy of formation ... -0.272 eV per atom
data_BaNa2Hg2Au
_chemical_formula_sum 'Ba2 Na4 Hg4 Au2'
_space_group_name_H-M_alt 'I 4/m m m'
_space_group_IT_number 139
_space_group_name_Hall '-I 4 2'
_cell_length_a 4.703
_cell_length_b 4.703
_cell_length_c 19.266
_cell_angle_alpha 90.00
_cell_angle_beta 90.00
_cell_angle_gamma 90.00
loop_
_atom_site_label
_atom_site_type_symbol
_atom_site_fract_x
_atom_site_fract_y
_atom_site_fract_z
Ba1 Ba 0.000 0.000 0.000
Na1 Na 0.000 0.500 0.250
Hg1 Hg 0.000 0.000 0.357
Au1 Au 0.000 0.000 0.500

=====

Entry 3:
# Ni2AgIr (GGA-PBE, optimized geometry)
# Energy of formation ... 0.340 eV per atom
data_Ni2AgIr
_chemical_formula_sum 'Ni8 Ag4 Ir4'
_space_group_name_H-M_alt 'F m -3 m'
_space_group_IT_number 225
_space_group_name_Hall '-F 4 2 3'
_cell_length_a 6.016
_cell_length_b 6.016
_cell_length_c 6.016
_cell_angle_alpha 90.00
_cell_angle_beta 90.00
_cell_angle_gamma 90.00
loop_
_atom_site_label
_atom_site_type_symbol
_atom_site_fract_x
_atom_site_fract_y
_atom_site_fract_z
Ni1 Ni 0.250 0.250 0.250
Ag1 Ag 0.000 0.000 0.000
Ir1 Ir 0.000 0.000 0.500

=====

Entry 4:
# PmDyAs (GGA-PBE, optimized geometry)
# Energy of formation ... -0.850 eV per atom
data_PmDyAs
_chemical_formula_sum 'Pm1 Dy1 As1'
_space_group_name_H-M_alt 'P 3 m 1'
_space_group_IT_number 156
_space_group_name_Hall 'P 3 -2"'
_cell_length_a 4.0137
_cell_length_b 4.0137
_cell_length_c 6.5984
_cell_angle_alpha 90.00
_cell_angle_beta 90.00
_cell_angle_gamma 120.00
loop_
_atom_site_label
_atom_site_type_symbol
_atom_site_fract_x
_atom_site_fract_y
_atom_site_fract_z
Pm1 Pm 0.0000 0.0000 0.0000
Dy1 Dy 0.6667 0.3333 0.5188
As1 As 0.3333 0.6667 0.2685

=====

Entry 5:
# Cs2RbRuI6 (GGA-PBE, optimized geometry)
# Formation energy without anion corrections ... -0.87 eV/atom
data_Cs2RbRuI6
_chemical_formula_sum 'Cs8 Rb4 Ru4 I24'
_space_group_name_H-M_alt 'F m -3 m'
_space_group_IT_number 225
_space_group_name_Hall '-F 4 2 3'
_cell_length_a 12.391
_cell_length_b 12.391
_cell_length_c 12.391
_cell_angle_alpha 90.00
_cell_angle_beta 90.00
_cell_angle_gamma 90.00
loop_
_atom_site_label
_atom_site_type_symbol
_atom_site_fract_x
_atom_site_fract_y
_atom_site_fract_z
Cs1 Cs 0.250 0.250 0.250
Rb1 Rb 0.000 0.000 0.000
Ru1 Ru 0.000 0.000 0.500
I1 I 0.000 0.000 0.280

=====

Entry 6:
# TbPuMgRh (GGA-PBE, optimized geometry)
# Energy of formation ... -0.188 eV per atom
data_TbPuMgRh
_chemical_formula_sum 'Tb4 Pu4 Mg4 Rh4'
_space_group_name_H-M_alt 'F -4 3 m'
_space_group_IT_number 216
_space_group_name_Hall 'F -4 2 3'
_cell_length_a 7.144
_cell_length_b 7.144
_cell_length_c 7.144
_cell_angle_alpha 90.00
_cell_angle_beta 90.00
_cell_angle_gamma 90.00
loop_
_atom_site_label
_atom_site_type_symbol
_atom_site_fract_x
_atom_site_fract_y
_atom_site_fract_z
Tb1 Tb 0.000 0.000 0.000
Pu1 Pu 0.000 0.000 0.500
Mg1 Mg 0.250 0.250 0.250
Rh1 Rh 0.250 0.250 0.750